No. 1
## KRbIn2 (GGA-PBE)

Data for an optimized crystal structure of KRbIn2.

Properties
The crystal system is tetragonal. The value obtained for the energy above the lowest structure with this stoichiometry is 277.4 meV/atom.

a = 10.117 Å, b = 10.117 Å, c = 6.676 Å
α = 90.00°, β = 90.00°, γ = 90.00°
Space group I-42d (No. 122)
Unique sites:
K (0.000, 0.000, 0.000) x4
Rb (0.000, 0.000, 0.500) x4
In (0.241, 0.250, 0.125) x8

No. 2
## Rb2AlCdCl (GGA-PBE)

Data for an optimized crystal structure of Rb2AlCdCl.

Properties
The value obtained for the formation energy (no corrections) is -0.27 eV per atom. The crystal system is tetragonal.

a = 6.896 Å, b = 6.896 Å, c = 5.033 Å
α = 90.00°, β = 90.00°, γ = 90.00°
Space group P4/mmm (No. 123)
Unique sites:
Rb (0.000, 0.500, 0.000) x2
Al (0.000, 0.000, 0.000) x1
Cd (0.000, 0.000, 0.500) x1
Cl (0.500, 0.500, 0.500) x1

No. 3
## Ac3AgC (GGA-PBE)

Data for an optimized crystal structure of Ac3AgC.

Properties
The crystal system is cubic. The calculation puts the final energy at -4.784 eV/atom.

a = 5.441 Å, b = 5.441 Å, c = 5.441 Å
α = 90.00°, β = 90.00°, γ = 90.00°
Space group Pm-3m (No. 221)
Unique sites:
Ac (0.000, 0.000, 0.500) x3
Ag (0.500, 0.500, 0.500) x1
C (0.000, 0.000, 0.000) x1

No. 4
## Be2HgP (GGA-PBE)

Data for an optimized crystal structure of Be2HgP.

Properties
The crystal system is cubic. The value obtained for the energy above the lowest structure with this stoichiometry is 831.4 meV/atom.

a = 6.258 Å, b = 6.258 Å, c = 6.258 Å
α = 90.00°, β = 90.00°, γ = 90.00°
Space group F-43m (No. 216)
Unique sites:
Be (0.000, 0.000, 0.000) x4
Be (0.250, 0.250, 0.250) x4
Hg (0.000, 0.000, 0.500) x4
P (0.250, 0.250, 0.750) x4